(1)
Entry from Alexandria: a relaxed structure of Tb3GeI3 (PBE).

Summary:
calculated density	6.67	g/cm3
E_form (uncorrected)	-1140.4	meV per atom
SG	P2_1/m (11)
DOS(E_F)	4.02	states/eV/cell

abc: 8.8862 4.2597 12.2404
angles: 90.00 90.34 90.00
Positions (direct):
1 Tb 0.0973 0.2500 0.3850
2 Tb 0.1188 0.2500 0.8419
3 Tb 0.3226 0.7500 0.6221
4 Tb 0.6774 0.2500 0.3779
5 Tb 0.8812 0.7500 0.1581
6 Tb 0.9027 0.7500 0.6150
7 Ge 0.1180 0.2500 0.6177
8 Ge 0.8820 0.7500 0.3823
9 I 0.1350 0.2500 0.1191
10 I 0.3706 0.7500 0.8757
11 I 0.3840 0.7500 0.3674
12 I 0.6160 0.2500 0.6326
13 I 0.6294 0.2500 0.1243
14 I 0.8650 0.7500 0.8809

(2)
Entry from Alexandria: a relaxed structure of Tb3PaRh4 (PBE).

Summary:
ΔH_f (0 K)	-0.798	eV per atom
calculated density	11.18	g/cm3
SG	P4/mmm (123)
DOS(E_F)	5.97	states/eV/cell

abc: 3.4449 3.4449 14.0162
angles: 90.00 90.00 90.00
Positions (direct):
1 Tb 0.0000 0.0000 0.0000
2 Tb 0.0000 0.0000 0.2458
3 Tb 0.0000 0.0000 0.7542
4 Pa 0.0000 0.0000 0.5000
5 Rh 0.5000 0.5000 0.1255
6 Rh 0.5000 0.5000 0.3900
7 Rh 0.5000 0.5000 0.6100
8 Rh 0.5000 0.5000 0.8745

(3)
Entry from Alexandria: a relaxed structure of ZnRhC2 (PBE).

Summary:
ΔH_f (0 K)	1.018	eV per atom
calculated density	6.24	g/cm3
SG	I-42d (122)
DOS(E_F)	3.12	states/eV/cell

abc: 5.6173 5.6173 5.6173
angles: 129.68 129.68 73.91
Positions (direct):
1 Zn 0.0000 0.0000 0.0000
2 Zn 0.7500 0.2500 0.5000
3 Rh 0.2500 0.7500 0.5000
4 Rh 0.5000 0.5000 0.0000
5 C 0.1554 0.6250 0.0304
6 C 0.3750 0.4054 0.5304
7 C 0.5946 0.1250 0.9696
8 C 0.8750 0.8446 0.4696

(4)
Entry from Alexandria: a relaxed structure of Th2PaGa2Ni7 (PBE).

Summary:
ΔH_f (0 K)	-0.427	eV per atom
calculated density	10.25	g/cm3
SG	C2/m (12)
DOS(E_F)	7.94	states/eV/cell

abc: 3.9151 3.9151 13.2693
angles: 95.03 95.03 88.45
Positions (direct):
1 Th 0.1054 0.1054 0.3637
2 Th 0.8946 0.8946 0.6363
3 Pa 0.0000 0.0000 0.0000
4 Ga 0.4278 0.4278 0.7550
5 Ga 0.5722 0.5722 0.2450
6 Ni 0.0407 0.5396 0.1388
7 Ni 0.3802 0.3802 0.5692
8 Ni 0.4604 0.9593 0.8612
9 Ni 0.5000 0.5000 0.0000
10 Ni 0.5396 0.0407 0.1388
11 Ni 0.6198 0.6198 0.4308
12 Ni 0.9593 0.4604 0.8612

(5)
Entry from Alexandria: a relaxed structure of La3Pr2Sc (PBE).

Summary:
ΔH_f (0 K)	0.241	eV per atom
calculated density	5.86	g/cm3
offset from the most stable computed form	205	meV per atom
SG	Pnnm (58)
DOS(E_F)	21.62	states/eV/cell

abc: 6.7778 18.0304 3.4481
angles: 90.00 90.00 90.00
Positions (direct):
1 La 0.0000 0.0000 0.0000
2 La 0.2463 0.1823 0.5000
3 La 0.2537 0.6823 0.0000
4 La 0.5000 0.5000 0.5000
5 La 0.7463 0.3177 0.0000
6 La 0.7537 0.8177 0.5000
7 Pr 0.2494 0.3545 0.0000
8 Pr 0.2506 0.8545 0.5000
9 Pr 0.7494 0.1455 0.5000
10 Pr 0.7506 0.6455 0.0000
11 Sc 0.0000 0.5000 0.0000
12 Sc 0.5000 0.0000 0.5000

(6)
Entry from Alexandria: a relaxed structure of Ba2Sr2Cu (PBE).

Summary:
ΔH_f (0 K)	0.178	eV per atom
calculated density	3.54	g/cm3
offset from the most stable computed form	180	meV per atom
SG	P4/mbm (127)
DOS(E_F)	13.92	states/eV/cell

abc: 8.3051 8.3051 6.9912
angles: 90.00 90.00 90.00
Positions (direct):
1 Ba 0.1739 0.3261 0.0000
2 Ba 0.3261 0.8261 0.0000
3 Ba 0.6739 0.1739 0.0000
4 Ba 0.8261 0.6739 0.0000
5 Sr 0.1679 0.6679 0.5000
6 Sr 0.3321 0.1679 0.5000
7 Sr 0.6679 0.8321 0.5000
8 Sr 0.8321 0.3321 0.5000
9 Cu 0.0000 0.0000 0.5000
10 Cu 0.5000 0.5000 0.5000

(7)
Entry from Alexandria: a relaxed structure of BaSbI2Br (PBE).

Summary:
calculated density	2.34	g/cm3
offset from the most stable computed form	103	meV per atom
E_form (uncorrected)	-194.4	meV per atom
SG	P4/mmm (123)
DOS(E_F)	8.93	states/eV/cell

abc: 6.5243 6.5243 9.8915
angles: 90.00 90.00 90.00
Positions (direct):
1 Ba 0.0000 0.0000 0.0000
2 Sb 0.0000 0.0000 0.5000
3 I 0.0000 0.5000 0.0000
4 I 0.5000 0.0000 0.0000
5 Br 0.5000 0.5000 0.5000

(8)
Entry from Alexandria: a relaxed structure of HfVFeS2 (PBE).

Summary:
calculated density	6.96	g/cm3
E_form (uncorrected)	188.7	meV per atom
SG	P4/mmm (123)
DOS(E_F)	4.78	states/eV/cell

abc: 4.4423 4.4423 4.2237
angles: 90.00 90.00 90.00
Positions (direct):
1 Hf 0.0000 0.0000 0.0000
2 V 0.5000 0.5000 0.5000
3 Fe 0.5000 0.5000 0.0000
4 S 0.0000 0.5000 0.5000
5 S 0.5000 0.0000 0.5000

(9)
Entry from Alexandria: a relaxed structure of GdDyLuTh (PBE).

Summary:
ΔH_f (0 K)	0.119	eV per atom
calculated density	9.52	g/cm3
SG	F-43m (216)
DOS(E_F)	7.21	states/eV/cell

abc: 5.6388 5.6388 5.6388
angles: 60.00 60.00 60.00
Positions (direct):
1 Gd 0.0000 0.0000 0.0000
2 Dy 0.7500 0.7500 0.7500
3 Lu 0.2500 0.2500 0.2500
4 Th 0.5000 0.5000 0.5000

(10)
Entry from Alexandria: a relaxed structure of Ba2LaTe (PBE).

Summary:
calculated density	5.65	g/cm3
E_form (uncorrected)	-475.7	meV per atom
SG	Cmmm (65)
DOS(E_F)	6.05	states/eV/cell

abc: 6.3388 6.3388 4.2008
angles: 90.00 90.00 109.61
Positions (direct):
1 Ba 0.0000 0.5000 0.0000
2 Ba 0.5000 0.0000 0.0000
3 La 0.0000 0.0000 0.5000
4 Te 0.5000 0.5000 0.5000

(11)
Entry from Alexandria: a relaxed structure of Ac5Zn4Pb (PBE).

Summary:
ΔH_f (0 K)	-0.286	eV per atom
calculated density	8.56	g/cm3
SG	P4/mmm (123)
DOS(E_F)	10.16	states/eV/cell

abc: 3.9225 3.9225 20.2245
angles: 90.00 90.00 90.00
Positions (direct):
1 Ac 0.0000 0.0000 0.0000
2 Ac 0.0000 0.0000 0.1926
3 Ac 0.0000 0.0000 0.3866
4 Ac 0.0000 0.0000 0.6134
5 Ac 0.0000 0.0000 0.8074
6 Zn 0.5000 0.5000 0.0975
7 Zn 0.5000 0.5000 0.2864
8 Zn 0.5000 0.5000 0.7136
9 Zn 0.5000 0.5000 0.9025
10 Pb 0.5000 0.5000 0.5000

(12)
Entry from Alexandria: a relaxed structure of SmPuBi (PBE).

Summary:
ΔH_f (0 K)	-0.033	eV per atom
calculated density	11.56	g/cm3
SG	P-6m2 (187)
DOS(E_F)	8.07	states/eV/cell

abc: 5.4705 5.4705 3.3431
angles: 90.00 90.00 120.00
Positions (direct):
1 Sm 0.0000 0.0000 0.0000
2 Pu 0.3333 0.6667 0.0000
3 Bi 0.6667 0.3333 0.5000

(13)
Entry from Alexandria: a relaxed structure of Ac3Sm (PBE).

Summary:
ΔH_f (0 K)	0.027	eV per atom
calculated density	8.23	g/cm3
offset from the most stable computed form	0	meV per atom
SG	Pm-3m (221)
DOS(E_F)	6.58	states/eV/cell

abc: 5.5146 5.5146 5.5146
angles: 90.00 90.00 90.00
Positions (direct):
1 Ac 0.0000 0.0000 0.5000
2 Ac 0.0000 0.5000 0.0000
3 Ac 0.5000 0.0000 0.0000
4 Sm 0.5000 0.5000 0.5000

(14)
Entry from Alexandria: a relaxed structure of PPdI2N (PBE).

Summary:
calculated density	6.10	g/cm3
offset from the most stable computed form	0	meV per atom
E_form (uncorrected)	656.3	meV per atom
SG	P4/mmm (123)
DOS(E_F)	3.75	states/eV/cell

abc: 5.8030 5.8030 3.2753
angles: 90.00 90.00 90.00
Positions (direct):
1 P 0.0000 0.0000 0.0000
2 Pd 0.5000 0.5000 0.5000
3 I 0.0000 0.5000 0.0000
4 I 0.5000 0.0000 0.0000
5 N 0.0000 0.0000 0.5000

(15)
Entry from Alexandria: a relaxed structure of TiSCl2 (PBE).

Summary:
calculated density	2.26	g/cm3
offset from the most stable computed form	1023	meV per atom
E_form (uncorrected)	-13.0	meV per atom
SG	R-3m (166)
DOS(E_F)	2.37	states/eV/cell

abc: 12.5670 12.5670 12.5670
angles: 14.67 14.67 14.67
Positions (direct):
1 Ti 0.0000 0.0000 0.0000
2 S 0.5000 0.5000 0.5000
3 Cl 0.0584 0.0584 0.0584
4 Cl 0.9416 0.9416 0.9416

(16)
Entry from Alexandria: a relaxed structure of Li3SmY2S6 (PBE).

Summary:
calculated density	3.59	g/cm3
E_form (uncorrected)	-1835.4	meV per atom
SG	C2/m (12)
DOS(E_F)	0.00	states/eV/cell

abc: 6.8373 6.8373 6.5915
angles: 99.92 99.92 120.02
Positions (direct):
1 Li 0.0000 0.0000 0.0000
2 Li 0.3309 0.6691 0.0000
3 Li 0.6691 0.3309 0.0000
4 Sm 0.5000 0.5000 0.5000
5 Y 0.1665 0.8335 0.5000
6 Y 0.8335 0.1665 0.5000
7 S 0.0778 0.4164 0.2482
8 S 0.2454 0.2454 0.7528
9 S 0.4164 0.0778 0.2482
10 S 0.5836 0.9222 0.7518
11 S 0.7546 0.7546 0.2472
12 S 0.9222 0.5836 0.7518

(17)
Entry from Alexandria: a relaxed structure of PrNd14Mg (PBE).

Summary:
ΔH_f (0 K)	0.005	eV per atom
calculated density	6.57	g/cm3
SG	P4/mmm (123)
DOS(E_F)	19.80	states/eV/cell

abc: 7.2959 7.2959 10.3666
angles: 90.00 90.00 90.00
Positions (direct):
1 Pr 0.0000 0.0000 0.0000
2 Nd 0.0000 0.0000 0.5000
3 Nd 0.0000 0.5000 0.0000
4 Nd 0.0000 0.5000 0.5000
5 Nd 0.2516 0.2516 0.2476
6 Nd 0.2516 0.2516 0.7524
7 Nd 0.2516 0.7484 0.2476
8 Nd 0.2516 0.7484 0.7524
9 Nd 0.5000 0.0000 0.0000
10 Nd 0.5000 0.0000 0.5000
11 Nd 0.5000 0.5000 0.5000
12 Nd 0.7484 0.2516 0.2476
13 Nd 0.7484 0.2516 0.7524
14 Nd 0.7484 0.7484 0.2476
15 Nd 0.7484 0.7484 0.7524
16 Mg 0.5000 0.5000 0.0000

(18)
Entry from Alexandria: a relaxed structure of Mg2Zn2InNi5 (PBE).

Summary:
ΔH_f (0 K)	-0.138	eV per atom
calculated density	6.83	g/cm3
SG	P4/mbm (127)
DOS(E_F)	8.87	states/eV/cell

abc: 8.8345 8.8345 3.6615
angles: 90.00 90.00 90.00
Positions (direct):
1 Mg 0.1744 0.3256 0.0000
2 Mg 0.3256 0.8256 0.0000
3 Mg 0.6744 0.1744 0.0000
4 Mg 0.8256 0.6744 0.0000
5 Zn 0.1222 0.6222 0.0000
6 Zn 0.3778 0.1222 0.0000
7 Zn 0.6222 0.8778 0.0000
8 Zn 0.8778 0.3778 0.0000
9 In 0.0000 0.0000 0.0000
10 In 0.5000 0.5000 0.0000
11 Ni 0.0000 0.5000 0.5000
12 Ni 0.0705 0.7929 0.5000
13 Ni 0.2071 0.0705 0.5000
14 Ni 0.2929 0.5705 0.5000
15 Ni 0.4295 0.2929 0.5000
16 Ni 0.5000 0.0000 0.5000
17 Ni 0.5705 0.7071 0.5000
18 Ni 0.7071 0.4295 0.5000
19 Ni 0.7929 0.9295 0.5000
20 Ni 0.9295 0.2071 0.5000

(19)
Entry from Alexandria: a relaxed structure of VMoRuRh (PBE).

Summary:
ΔH_f (0 K)	0.227	eV per atom
calculated density	9.07	g/cm3
offset from the most stable computed form	159	meV per atom
SG	R3m (160)
DOS(E_F)	5.00	states/eV/cell

abc: 5.0302 5.0302 5.0302
angles: 47.94 47.94 47.94
Positions (direct):
1 V 0.0000 0.0000 0.0000
2 Mo 0.8081 0.8081 0.8081
3 Ru 0.4002 0.4002 0.4002
4 Rh 0.6010 0.6010 0.6010

(20)
Entry from Alexandria: a relaxed structure of Nd3Sm6YEr2 (PBE).

Summary:
ΔH_f (0 K)	0.017	eV per atom
calculated density	7.26	g/cm3
SG	C2/m (12)
DOS(E_F)	16.35	states/eV/cell

abc: 6.2726 6.2726 11.9794
angles: 95.00 95.00 120.00
Positions (direct):
1 Nd 0.0000 0.0000 0.0000
2 Nd 0.3333 0.6667 0.0000
3 Nd 0.6667 0.3333 0.0000
4 Sm 0.0832 0.4177 0.2543
5 Sm 0.2479 0.2479 0.7456
6 Sm 0.4177 0.0832 0.2543
7 Sm 0.5823 0.9168 0.7457
8 Sm 0.7521 0.7521 0.2544
9 Sm 0.9168 0.5823 0.7457
10 Y 0.5000 0.5000 0.5000
11 Er 0.1667 0.8333 0.5000
12 Er 0.8333 0.1667 0.5000

(21)
Entry from Alexandria: a relaxed structure of AcMgZnRh (PBE).

Summary:
ΔH_f (0 K)	-0.260	eV per atom
calculated density	7.66	g/cm3
offset from the most stable computed form	175	meV per atom
SG	F-43m (216)
DOS(E_F)	3.30	states/eV/cell

abc: 5.0487 5.0487 5.0487
angles: 60.00 60.00 60.00
Positions (direct):
1 Ac 0.0000 0.0000 0.0000
2 Mg 0.5000 0.5000 0.5000
3 Zn 0.7500 0.7500 0.7500
4 Rh 0.2500 0.2500 0.2500

(22)
Entry from Alexandria: a relaxed structure of CdCo2GeS (PBE).

Summary:
calculated density	4.81	g/cm3
offset from the most stable computed form	1061	meV per atom
E_form (uncorrected)	1516.5	meV per atom
SG	P4/mmm (123)
DOS(E_F)	6.02	states/eV/cell

abc: 4.8099 4.8099 4.9978
angles: 90.00 90.00 90.00
Positions (direct):
1 Cd 0.0000 0.0000 0.0000
2 Co 0.0000 0.5000 0.0000
3 Co 0.5000 0.0000 0.0000
4 Ge 0.0000 0.0000 0.5000
5 S 0.5000 0.5000 0.5000

(23)
Entry from Alexandria: a relaxed structure of PaBe2Co (PBE).

Summary:
ΔH_f (0 K)	-0.083	eV per atom
calculated density	9.29	g/cm3
offset from the most stable computed form	162	meV per atom
SG	R-3m (166)
DOS(E_F)	4.47	states/eV/cell

abc: 5.1744 5.1744 5.1744
angles: 41.54 41.54 41.54
Positions (direct):
1 Pa 0.0000 0.0000 0.0000
2 Be 0.1982 0.1982 0.1982
3 Be 0.8018 0.8018 0.8018
4 Co 0.5000 0.5000 0.5000

(24)
Entry from Alexandria: a relaxed structure of PuThPt2 (PBE).

Summary:
ΔH_f (0 K)	-0.893	eV per atom
calculated density	15.74	g/cm3
offset from the most stable computed form	119	meV per atom
SG	Fm-3m (225)
DOS(E_F)	11.94	states/eV/cell

abc: 5.0558 5.0558 5.0558
angles: 60.00 60.00 60.00
Positions (direct):
1 Pu 0.0000 0.0000 0.0000
2 Th 0.5000 0.5000 0.5000
3 Pt 0.2500 0.2500 0.2500
4 Pt 0.7500 0.7500 0.7500

(25)
Entry from Alexandria: a relaxed structure of P2O (PBE).

Summary:
calculated density	2.50	g/cm3
offset from the most stable computed form	1	meV per atom
E_form (uncorrected)	-645.7	meV per atom
SG	R3m (160)

abc: 5.6060 5.6060 5.6060
angles: 35.04 35.04 35.04
Positions (direct):
1 P 0.0000 0.0000 0.0000
2 P 0.4077 0.4077 0.4077
3 O 0.5021 0.5021 0.5021